(1)
ScPb2Cl: relaxed, PBE.

Calculated values
Energy = -34.00 eV/cell
ΔE to the lowest computed polymorph = 325 meV/atom
M_tot = 0.00 μB per formula unit
Space group = I-42d
Calculated volume = 32.036 A^3/atom

Lattice parameters (Å, degrees): 10.1915 10.1915 7.6172 48.01 48.01 90.00
Atoms (fractional coordinates):
Cl 0.2500 0.7500 0.5000
Cl 0.5000 0.5000 0.0000
Pb 0.7121 0.1250 0.2500
Pb 0.0379 0.6250 0.2500
Pb 0.3750 0.2879 0.7500
Pb 0.8750 0.9621 0.7500
Sc 0.7500 0.2500 0.5000
Sc 0.0000 0.0000 0.0000


(2)
ScTaPb2Cl: relaxed, PBE.

Calculated values
Energy = -22.09 eV/cell
M_tot = 1.00 μB per formula unit
Space group = P4/mmm
Calculated volume = 40.261 A^3/atom

Lattice parameters (Å, degrees): 6.1680 5.2913 6.1680 90.00 90.00 90.00
Atoms (fractional coordinates):
Ta 0.0000 0.5000 0.0000
Sc 0.0000 0.0000 0.0000
Pb 0.0000 0.0000 0.5000
Pb 0.5000 0.0000 0.0000
Cl 0.5000 0.5000 0.5000


(3)
Sc2TePbCl: relaxed, PBE.

Calculated values
Energy = -21.19 eV/cell
M_tot = 0.00 μB per formula unit
Space group = P4/mmm
Calculated volume = 31.712 A^3/atom

Lattice parameters (Å, degrees): 5.5054 5.5054 5.2314 90.00 90.00 90.00
Atoms (fractional coordinates):
Pb 0.5000 0.5000 0.5000
Te 0.0000 0.0000 0.0000
Sc 0.0000 0.5000 0.0000
Sc 0.5000 0.0000 0.0000
Cl 0.0000 0.0000 0.5000


(4)
ScTlPbCl6: relaxed, PBE.

Calculated values
Energy = -75.32 eV/cell
M_tot = 0.00 μB per formula unit
Space group = P-31c
Calculated volume = 33.141 A^3/atom

Lattice parameters (Å, degrees): 7.1818 7.1818 13.3552 90.00 90.00 120.00
Atoms (fractional coordinates):
Pb 0.6667 0.3333 0.7500
Pb 0.3333 0.6667 0.2500
Tl 0.0000 0.0000 0.5000
Tl 0.0000 0.0000 0.0000
Cl 0.6521 0.6107 0.1403
Cl 0.6521 0.0413 0.3597
Cl 0.3893 0.3479 0.3597
Cl 0.3479 0.9587 0.6403
Cl 0.0413 0.6521 0.8597
Cl 0.6107 0.9587 0.8597
Cl 0.3479 0.3893 0.8597
Cl 0.6107 0.6521 0.6403
Cl 0.9587 0.3479 0.1403
Cl 0.0413 0.3893 0.6403
Cl 0.9587 0.6107 0.3597
Cl 0.3893 0.0413 0.1403
Sc 0.6667 0.3333 0.2500
Sc 0.3333 0.6667 0.7500


(5)
Sc2TlPbCl: relaxed, PBE.

Calculated values
Energy = -21.19 eV/cell
M_tot = 0.00 μB per formula unit
Space group = P4/mmm
Calculated volume = 26.684 A^3/atom

Lattice parameters (Å, degrees): 4.8637 5.6403 4.8637 90.00 90.00 90.00
Atoms (fractional coordinates):
Sc 0.5000 0.0000 0.0000
Sc 0.0000 0.0000 0.5000
Cl 0.0000 0.0000 0.0000
Pb 0.0000 0.5000 0.0000
Tl 0.5000 0.5000 0.5000


(6)
PbSeCl2: relaxed, PBE.

Calculated values
Energy = -11.64 eV/cell
ΔE to the lowest computed polymorph = 398 meV/atom
M_tot = 2.01 μB per formula unit
Space group = I4/mmm
Calculated volume = 25.213 A^3/atom

Lattice parameters (Å, degrees): 5.4391 5.4391 5.4391 126.38 126.38 79.27
Atoms (fractional coordinates):
Pb 0.2500 0.7500 0.5000
Se 0.7500 0.2500 0.5000
Cl 0.5000 0.5000 0.0000
Cl 0.0000 0.0000 0.0000


(7)
PbSeCl: relaxed, PBE.

Calculated values
Energy = -10.31 eV/cell
ΔE to the lowest computed polymorph = 313 meV/atom
M_tot = 0.00 μB per formula unit
Space group = F-43m
Calculated volume = 29.698 A^3/atom

Lattice parameters (Å, degrees): 5.0133 5.0133 5.0133 60.00 60.00 60.00
Atoms (fractional coordinates):
Se 0.0000 0.0000 0.0000
Pb 0.2500 0.2500 0.2500
Cl 0.5000 0.5000 0.5000


(8)
PbSeCl4: relaxed, PBE.

Calculated values
Energy = -12.57 eV/cell
M_tot = 4.07 μB per formula unit
Space group = F-43m
Calculated volume = 25.463 A^3/atom

Lattice parameters (Å, degrees): 6.0005 6.0005 6.0005 60.00 60.00 60.00
Atoms (fractional coordinates):
Cl 0.3757 0.3757 0.3757
Cl 0.8730 0.3757 0.3757
Cl 0.3757 0.3757 0.8730
Cl 0.3757 0.8730 0.3757
Se 0.0000 0.0000 0.0000
Pb 0.7500 0.7500 0.7500


(9)
PbSeCl2: relaxed, PBE.

Calculated values
Energy = -12.15 eV/cell
ΔE to the lowest computed polymorph = 272 meV/atom
M_tot = 0.00 μB per formula unit
Space group = Pmmm
Calculated volume = 24.486 A^3/atom

Lattice parameters (Å, degrees): 3.8422 5.7062 4.4674 90.00 90.00 90.00
Atoms (fractional coordinates):
Cl 0.5000 0.5000 0.0000
Cl 0.0000 0.0000 0.0000
Se 0.0000 0.5000 0.5000
Pb 0.5000 0.0000 0.5000


(10)
PbSeCl2: relaxed, PBE.

Calculated values
Energy = -12.04 eV/cell
ΔE to the lowest computed polymorph = 300 meV/atom
M_tot = 2.00 μB per formula unit
Space group = R-3m
Calculated volume = 38.396 A^3/atom

Lattice parameters (Å, degrees): 10.3941 10.3941 10.3941 23.25 23.25 23.25
Atoms (fractional coordinates):
Pb 0.2500 0.2500 0.2500
Cl 0.5299 0.5299 0.5299
Cl 0.9701 0.9701 0.9701
Se 0.7500 0.7500 0.7500


(11)
PbSeCl: relaxed, PBE.

Calculated values
Energy = -22.50 eV/cell
ΔE to the lowest computed polymorph = 0 meV/atom
M_tot = 0.00 μB per formula unit
Space group = C2/m
Calculated volume = 30.986 A^3/atom

Lattice parameters (Å, degrees): 4.5778 5.4021 8.3327 94.61 90.00 115.07
Atoms (fractional coordinates):
Se 0.6149 0.2297 0.4649
Se 0.3851 0.7703 0.5351
Cl 0.1366 0.2731 0.8486
Cl 0.8634 0.7269 0.1514
Pb 0.8293 0.6586 0.7622
Pb 0.1707 0.3414 0.2378


(12)
PbSeCl3: relaxed, PBE.

Calculated values
Energy = -13.24 eV/cell
ΔE to the lowest computed polymorph = 109 meV/atom
M_tot = 0.00 μB per formula unit
Space group = Pm-3m
Calculated volume = 28.402 A^3/atom

Lattice parameters (Å, degrees): 5.2173 5.2173 5.2173 90.00 90.00 90.00
Atoms (fractional coordinates):
Cl 0.0000 0.0000 0.5000
Cl 0.0000 0.5000 0.0000
Cl 0.5000 0.0000 0.0000
Pb 0.5000 0.5000 0.5000
Se 0.0000 0.0000 0.0000


(13)
PbSeCl: relaxed, PBE.

Calculated values
Energy = -9.82 eV/cell
ΔE to the lowest computed polymorph = 475 meV/atom
M_tot = 0.00 μB per formula unit
Space group = F-43m
Calculated volume = 29.348 A^3/atom

Lattice parameters (Å, degrees): 4.9935 4.9935 4.9935 60.00 60.00 60.00
Atoms (fractional coordinates):
Cl 0.0000 0.0000 0.0000
Pb 0.5000 0.5000 0.5000
Se 0.2500 0.2500 0.2500


(14)
PbSeCl2: relaxed, PBE.

Calculated values
Energy = -13.24 eV/cell
ΔE to the lowest computed polymorph = 0 meV/atom
M_tot = 0.00 μB per formula unit
Space group = C2/m
Calculated volume = 31.838 A^3/atom

Lattice parameters (Å, degrees): 6.7587 6.7587 4.7890 87.34 87.34 35.65
Atoms (fractional coordinates):
Pb 0.7500 0.7500 0.7500
Cl 0.0927 0.0927 0.9699
Cl 0.4073 0.4073 0.5301
Se 0.2500 0.2500 0.2500


(15)
Pb2Se2Cl: relaxed, PBE.

Calculated values
Energy = -37.79 eV/cell
ΔE to the lowest computed polymorph = 0 meV/atom
M_tot = 0.00 μB per formula unit
Space group = P4/mbm
Calculated volume = 27.494 A^3/atom

Lattice parameters (Å, degrees): 8.2908 8.2908 3.9999 90.00 90.00 90.00
Atoms (fractional coordinates):
Cl 0.0000 0.0000 0.0000
Cl 0.5000 0.5000 0.0000
Pb 0.3102 0.8102 0.0000
Pb 0.8102 0.6898 0.0000
Pb 0.6898 0.1898 0.0000
Pb 0.1898 0.3102 0.0000
Se 0.6249 0.8751 0.5000
Se 0.3751 0.1249 0.5000
Se 0.1249 0.6249 0.5000
Se 0.8751 0.3751 0.5000


(16)
PbSeCl2: relaxed, PBE.

Calculated values
Energy = -13.06 eV/cell
ΔE to the lowest computed polymorph = 44 meV/atom
M_tot = 0.00 μB per formula unit
Space group = Pm
Calculated volume = 29.168 A^3/atom

Lattice parameters (Å, degrees): 5.2318 4.7221 5.0858 68.21 90.00 90.00
Atoms (fractional coordinates):
Pb 0.0000 0.3611 0.5459
Cl 0.5000 0.4822 0.1460
Cl 0.0000 0.9996 0.1339
Se 0.5000 0.6571 0.6742


(17)
PbSeCl2: relaxed, PBE.

Calculated values
Energy = -11.77 eV/cell
ΔE to the lowest computed polymorph = 368 meV/atom
M_tot = 0.00 μB per formula unit
Space group = R-3m
Calculated volume = 26.275 A^3/atom

Lattice parameters (Å, degrees): 9.7988 9.7988 9.7988 20.93 20.93 20.93
Atoms (fractional coordinates):
Cl 0.0844 0.0844 0.0844
Cl 0.9156 0.9156 0.9156
Pb 0.5000 0.5000 0.5000
Se 0.0000 0.0000 0.0000


(18)
PbSeCl: relaxed, PBE.

Calculated values
Energy = -10.43 eV/cell
ΔE to the lowest computed polymorph = 272 meV/atom
M_tot = 0.00 μB per formula unit
Space group = P3m1
Calculated volume = 31.390 A^3/atom

Lattice parameters (Å, degrees): 4.1604 4.1604 6.2820 90.00 90.00 120.00
Atoms (fractional coordinates):
Cl 0.0000 0.0000 0.0611
Pb 0.6667 0.3333 0.3467
Se 0.3333 0.6667 0.5922


(19)
Pb6Se5Cl: relaxed, PBE.

Calculated values
Energy = -48.37 eV/cell
M_tot = 0.00 μB per formula unit
Space group = C2/m
Calculated volume = 30.285 A^3/atom

Lattice parameters (Å, degrees): 7.5529 7.6840 7.6860 60.01 80.23 70.16
Atoms (fractional coordinates):
Cl 0.0000 0.0000 0.0000
Pb 0.2553 0.9150 0.6542
Pb 0.2535 0.2618 0.0000
Pb 0.7447 0.0850 0.3458
Pb 0.7465 0.7382 0.0000
Pb 0.2553 0.5692 0.3458
Pb 0.7447 0.4308 0.6542
Se 0.0000 0.6653 0.6695
Se 0.5000 0.5000 0.0000
Se 0.5000 0.1681 0.6638
Se 0.5000 0.8319 0.3362
Se 0.0000 0.3347 0.3305


(20)
PbSeCl2: relaxed, PBE.

Calculated values
Energy = -12.49 eV/cell
ΔE to the lowest computed polymorph = 188 meV/atom
M_tot = 0.00 μB per formula unit
Space group = C2/m
Calculated volume = 27.045 A^3/atom

Lattice parameters (Å, degrees): 4.9264 5.5842 4.9042 66.53 84.68 113.60
Atoms (fractional coordinates):
Se 0.5000 0.5000 0.0000
Cl 0.0000 0.0000 0.0000
Cl 0.5000 0.0000 0.5000
Pb 0.0000 0.5000 0.5000


Number 1: formation energy (no corrections) -0.35 eV per atom. Number 2: formation energy (no corrections) 1.07 eV per atom. Number 3: formation energy (no corrections) 0.03 eV per atom. Number 4: formation energy (no corrections) -1.57 eV per atom. Number 5: formation energy (no corrections) -0.12 eV per atom. Number 6: formation energy (no corrections) -0.19 eV per atom. Number 7: formation energy (no corrections) -0.42 eV per atom. Number 8: formation energy (no corrections) 0.33 eV per atom. Number 9: formation energy (no corrections) -0.32 eV per atom. Number 10: formation energy (no corrections) -0.29 eV per atom. Number 11: formation energy (no corrections) -0.74 eV per atom. Number 12: formation energy (no corrections) -0.10 eV per atom. Number 13: formation energy (no corrections) -0.26 eV per atom. Number 14: formation energy (no corrections) -0.59 eV per atom. Number 15: formation energy (no corrections) -0.53 eV per atom. Number 16: formation energy (no corrections) -0.54 eV per atom. Number 17: formation energy (no corrections) -0.22 eV per atom. Number 18: formation energy (no corrections) -0.46 eV per atom. Number 19: formation energy (no corrections) -0.57 eV per atom. Number 20: formation energy (no corrections) -0.40 eV per atom.